# 1
ScFeAgAs | PBE | optimized geometry

Values from the calculation:
The total magnetic moment comes out at 2.43 Bohr magnetons per cell. The electronic total energy is -22.7 eV/f.u. As for the mass density: 7096 kg/m3.

Lattice parameters (Å, degrees): 4.5445 4.5445 4.5445 60.00 60.00 60.00
Closest atoms and distances in Å follow each position.
Fractional positions:
Ag1 0.5000 0.5000 0.5000  4 Fe 2.78, 4 Sc 2.78
As1 0.0000 0.0000 0.0000  4 Fe 2.78, 4 Sc 2.78
Fe1 0.7500 0.7500 0.7500  4 As 2.78, 4 Ag 2.78
Sc1 0.2500 0.2500 0.2500  4 As 2.78, 4 Ag 2.78



# 2
SnAu15 | PBE | optimized geometry

Values from the calculation:
The electronic total energy is -52.8 eV/f.u. As for the mass density: 12775 kg/m3.

Lattice parameters (Å, degrees): 8.3191 46.4894 4.1317 90.00 90.00 90.00
Closest atoms and distances in Å follow each position.
Fractional positions:
Au1 0.1250 0.0224 0.0000  12 Au 2.93-2.95
Au2 0.6251 0.0224 0.0000  12 Au 2.93-2.95
Au3 0.3750 0.0672 0.0000  12 Au 2.93-2.95
Au4 0.8751 0.0673 0.0000  12 Au 2.93-2.95
Au5 0.6250 0.1121 0.0000  12 Au 2.93-2.95
Au6 0.1252 0.1121 0.0000  12 Au 2.93-2.95
Au7 0.3746 0.1570 0.0000  12 Au 2.93-2.96
Au8 0.8756 0.1571 0.0000  12 Au 2.92-2.95
Au9 0.6259 0.2018 0.0000  12 Au 2.93-2.99
Au10 0.1246 0.2023 0.0000  12 Au 2.92-2.96
Au11 0.3734 0.2465 0.0000  12 Au 2.91-3.13
Au12 0.8778 0.2477 0.0000  12 Au 2.86-3.04
Au13 0.6306 0.2906 0.0000  11 Au 2.86-3.00, 1 Sn 3.08
Au14 0.1173 0.2958 0.0000  9 Au 2.84-3.13, 2 Sn 3.10
Au15 0.3858 0.3372 0.0000  6 Au 2.81-3.00, 2 Sn 2.83
Au16 0.6142 0.6628 0.0000  6 Au 2.81-3.00, 2 Sn 2.83
Au17 0.8827 0.7042 0.0000  9 Au 2.84-3.13, 2 Sn 3.10
Au18 0.3694 0.7094 0.0000  11 Au 2.86-3.00, 1 Sn 3.08
Au19 0.1222 0.7523 0.0000  12 Au 2.86-3.04
Au20 0.6266 0.7535 0.0000  12 Au 2.91-3.13
Au21 0.8754 0.7977 0.0000  12 Au 2.92-2.96
Au22 0.3741 0.7982 0.0000  12 Au 2.93-2.99
Au23 0.1244 0.8429 0.0000  12 Au 2.92-2.95
Au24 0.6254 0.8430 0.0000  12 Au 2.93-2.96
Au25 0.8748 0.8879 0.0000  12 Au 2.93-2.95
Au26 0.3750 0.8879 0.0000  12 Au 2.93-2.95
Au27 0.1249 0.9327 0.0000  12 Au 2.93-2.95
Au28 0.6250 0.9328 0.0000  12 Au 2.93-2.95
Au29 0.3749 0.9776 0.0000  12 Au 2.93-2.95
Au30 0.8750 0.9776 0.0000  12 Au 2.93-2.95
Au31 0.8750 0.0224 0.5000  12 Au 2.93-2.95
Au32 0.3749 0.0224 0.5000  12 Au 2.93-2.95
Au33 0.6250 0.0672 0.5000  12 Au 2.93-2.95
Au34 0.1249 0.0673 0.5000  12 Au 2.93-2.95
Au35 0.3750 0.1121 0.5000  12 Au 2.93-2.95
Au36 0.8748 0.1121 0.5000  12 Au 2.93-2.95
Au37 0.6254 0.1570 0.5000  12 Au 2.93-2.96
Au38 0.1244 0.1571 0.5000  12 Au 2.92-2.95
Au39 0.3741 0.2018 0.5000  12 Au 2.93-2.99
Au40 0.8754 0.2023 0.5000  12 Au 2.92-2.96
Au41 0.6266 0.2465 0.5000  12 Au 2.91-3.13
Au42 0.1222 0.2477 0.5000  12 Au 2.86-3.04
Au43 0.3694 0.2906 0.5000  11 Au 2.86-3.00, 1 Sn 3.08
Au44 0.8827 0.2958 0.5000  9 Au 2.84-3.13, 2 Sn 3.10
Au45 0.6142 0.3372 0.5000  6 Au 2.81-3.00, 2 Sn 2.83
Au46 0.3858 0.6628 0.5000  6 Au 2.81-3.00, 2 Sn 2.83
Au47 0.1173 0.7042 0.5000  9 Au 2.84-3.13, 2 Sn 3.10
Au48 0.6306 0.7094 0.5000  11 Au 2.86-3.00, 1 Sn 3.08
Au49 0.8778 0.7523 0.5000  12 Au 2.86-3.04
Au50 0.3734 0.7535 0.5000  12 Au 2.91-3.13
Au51 0.1246 0.7977 0.5000  12 Au 2.92-2.96
Au52 0.6259 0.7982 0.5000  12 Au 2.93-2.99
Au53 0.8756 0.8429 0.5000  12 Au 2.92-2.95
Au54 0.3746 0.8430 0.5000  12 Au 2.93-2.96
Au55 0.1252 0.8879 0.5000  12 Au 2.93-2.95
Au56 0.6250 0.8879 0.5000  12 Au 2.93-2.95
Au57 0.8751 0.9327 0.5000  12 Au 2.93-2.95
Au58 0.3750 0.9328 0.5000  12 Au 2.93-2.95
Au59 0.6251 0.9776 0.5000  12 Au 2.93-2.95
Au60 0.1250 0.9776 0.5000  12 Au 2.93-2.95
Sn1 0.8424 0.3449 0.0000  5 Au 2.83-3.10
Sn2 0.1576 0.6551 0.0000  5 Au 2.83-3.10
Sn3 0.1576 0.3449 0.5000  5 Au 2.83-3.10
Sn4 0.8424 0.6551 0.5000  5 Au 2.83-3.10



# 3
KSb2Pb2Au | PBE | optimized geometry

Values from the calculation:
The electronic total energy is -20.4 eV/f.u. As for the mass density: 7123 kg/m3.

Lattice parameters (Å, degrees): 4.9895 4.9895 9.6667 90.00 90.00 120.00
Closest atoms and distances in Å follow each position.
Fractional positions:
Au1 0.6667 0.3333 0.0187  4 Sb 2.86-3.02
K1 0.3333 0.6667 0.5135  4 Sb 3.52-3.89, 3 Pb 3.89
Pb1 0.0000 0.0000 0.2433  3 Sb 3.15
Pb2 0.0000 0.0000 0.8591  3 Sb 3.17, 3 Au 3.27
Sb1 0.3333 0.6667 0.1116  3 Au 3.02, 3 Pb 3.15
Sb2 0.6667 0.3333 0.7228  1 Au 2.86, 3 Pb 3.17



# 4
AcZrTe | PBE | optimized geometry

Values from the calculation:
The total magnetic moment comes out at 3.89 Bohr magnetons per cell. The electronic total energy is -14.3 eV/f.u. As for the mass density: 6169 kg/m3.

Lattice parameters (Å, degrees): 5.5364 5.5364 5.5364 60.00 60.00 60.00
Closest atoms and distances in Å follow each position.
Fractional positions:
Ac1 0.0000 0.0000 0.0000  4 Zr 3.39, 4 Te 3.39
Te1 0.2500 0.2500 0.2500  4 Ac 3.39
Zr1 0.7500 0.7500 0.7500  4 Ac 3.39



# 5
TaAg2Te2 | PBE | optimized geometry

Values from the calculation:
The total magnetic moment comes out at 0.01 Bohr magnetons per cell. The electronic total energy is -22.2 eV/f.u. As for the mass density: 10063 kg/m3.

Lattice parameters (Å, degrees): 3.6864 3.6864 8.3341 102.78 102.78 90.00
Closest atoms and distances in Å follow each position.
Fractional positions:
Ag1 0.7500 0.2500 0.5000  4 Ag 2.61
Ag2 0.2500 0.7500 0.5000  4 Ag 2.61
Ta1 0.0000 0.0000 0.0000  8 Te 3.02
Te1 0.5967 0.5967 0.1934  4 Ta 3.02, 4 Ag 3.05, 1 Te 3.06
Te2 0.4033 0.4033 0.8066  4 Ta 3.02, 4 Ag 3.05, 1 Te 3.06



# 6
Pr4PCl5 | PBE | optimized geometry

Values from the calculation:
The total magnetic moment comes out at 0.01 Bohr magnetons per cell. The electronic total energy is -52.8 eV/f.u. As for the mass density: 4291 kg/m3.

Lattice parameters (Å, degrees): 9.3033 9.3033 8.3246 104.40 104.40 25.39
Closest atoms and distances in Å follow each position.
Fractional positions:
Cl1 0.8289 0.8289 0.1478  4 Pr 2.93-3.08
Cl2 0.1658 0.1658 0.3377  3 Pr 2.86-2.92
Cl3 0.5000 0.5000 0.5000  4 Pr 3.05
Cl4 0.8342 0.8342 0.6623  3 Pr 2.86-2.92
Cl5 0.1711 0.1711 0.8522  4 Pr 2.93-3.08
P1 0.5000 0.5000 0.0000  6 Pr 2.71-2.79
Pr1 0.6546 0.6546 0.0928  1 P 2.71, 4 Cl 2.86-2.93
Pr2 0.9998 0.9998 0.2283  2 P 2.79, 4 Cl 2.92-3.05
Pr3 0.0002 0.0002 0.7717  2 P 2.79, 4 Cl 2.92-3.05
Pr4 0.3454 0.3454 0.9072  1 P 2.71, 4 Cl 2.86-2.93



Question: Which of these has the highest mass density?
Answer: SnAu15



Question: Which value of electronic total energy does entry 2 give?
Answer: -52.8 eV/f.u.



Question: The lowest mass density belongs to which entry?
Answer: Pr4PCl5